Model 1:
Cr2HgTe, relaxed, DFT PBE-GGA; crystal system = tetragonal; calculated density = 6.98 g cm⁻³; D(E_F) = 5.0 states/eV/cell
1.0
-0.8570 -2.2534 -4.2127
-0.0635 -4.2742 2.2992
-9.0505 -2.4348 0.3472
Cr Hg Te
4 2 2
Direct
0.1441 0.6250 0.2500
0.6059 0.1250 0.2500
0.8750 0.8559 0.7500
0.3750 0.3941 0.7500
0.0000 0.0000 0.0000
0.7500 0.2500 0.5000
0.2500 0.7500 0.5000
0.5000 0.5000 0.0000

=====

Model 2:
Cr2HgTe, relaxed, DFT PBE-GGA; crystal system = cubic; calculated density = 7.98 g cm⁻³; D(E_F) = 3.8 states/eV/cell
1.0
-2.4743 -2.8261 -3.3443
1.9280 -4.3995 -1.4903
-2.1508 -4.3085 1.4506
Cr Te Hg
2 1 1
Direct
0.2500 0.2500 0.2500
0.0000 0.0000 0.0000
0.7500 0.7500 0.7500
0.5000 0.5000 0.5000

=====

Model 3:
Cr2HgTe, relaxed, DFT PBE-GGA; crystal system = cubic; calculated density = 8.44 g cm⁻³; D(E_F) = 4.4 states/eV/cell
1.0
0.0000 3.4896 3.4896
3.4896 0.0000 3.4896
3.4896 3.4896 0.0000
Hg Cr Te
1 2 1
Direct
0.5000 0.5000 0.5000
0.2500 0.2500 0.2500
0.7500 0.7500 0.7500
0.0000 0.0000 0.0000

=====

Model 4:
Cr2HgTe, relaxed, DFT PBE-GGA; crystal system = tetragonal; calculated density = 8.84 g cm⁻³; D(E_F) = 3.0 states/eV/cell
1.0
-1.7038 1.0688 -2.4474
-2.5004 -1.6584 1.0164
-2.3954 6.3269 4.4305
Cr Hg Te
2 1 1
Direct
0.5000 0.5000 0.2007
0.0000 0.0000 0.0375
0.0000 0.0000 0.4351
0.5000 0.5000 0.8267

=====

Which structure is most stable? model 4, by 180 meV/atom over the runner-up.

=====

Model 1:
TiCr3Hg, relaxed, DFT PBE-GGA; crystal system = cubic; calculated density = 8.23 g cm⁻³; D(E_F) = 3.8 states/eV/cell
1.0
-3.3583 1.1486 -2.4931
-2.5409 -2.7914 2.1366
-1.0387 3.1148 2.8341
Ti Cr Hg
1 3 1
Direct
0.0000 0.0000 0.0000
0.0000 0.0000 0.5000
0.0000 0.5000 0.0000
0.5000 0.0000 0.0000
0.5000 0.5000 0.5000

=====

Model 2:
TiCr3Hg, relaxed, DFT PBE-GGA; crystal system = cubic; calculated density = 5.35 g cm⁻³; D(E_F) = 14.3 states/eV/cell
1.0
5.0060 0.0000 0.0000
0.0000 5.0060 0.0000
0.0000 0.0000 5.0060
Hg Ti Cr
1 1 3
Direct
0.0000 0.0000 0.0000
0.5000 0.5000 0.5000
0.0000 0.0000 0.5000
0.5000 0.0000 0.0000
0.0000 0.5000 0.0000

=====

Which structure is most stable? model 1, by 350 meV/atom over the runner-up.

=====

Model 1:
TiCrHg2, relaxed, DFT PBE-GGA; crystal system = cubic; calculated density = 11.18 g cm⁻³; D(E_F) = 5.9 states/eV/cell
1.0
0.0000 3.3384 3.3384
3.3384 0.0000 3.3384
3.3384 3.3384 0.0000
Hg Cr Ti
2 1 1
Direct
0.7500 0.7500 0.7500
0.2500 0.2500 0.2500
0.5000 0.5000 0.5000
0.0000 0.0000 0.0000

=====

Model 2:
TiCrHg2, relaxed, DFT PBE-GGA; crystal system = tetragonal; calculated density = 9.85 g cm⁻³; D(E_F) = 9.5 states/eV/cell
1.0
-1.4352 0.0778 3.8554
-2.8318 -2.8136 -0.9974
4.2128 -8.6448 3.9384
Cr Ti Hg
2 2 4
Direct
0.0000 0.0000 0.0000
0.7500 0.2500 0.5000
0.5000 0.5000 0.0000
0.2500 0.7500 0.5000
0.3750 0.3706 0.7500
0.6294 0.1250 0.2500
0.8750 0.8794 0.7500
0.1206 0.6250 0.2500

=====

Which structure is most stable? model 1, by 359 meV/atom over the runner-up.